Entry 1:
Here is a relaxed NaGeCl3 crystal from Alexandria via LeMat-Bulk. Energies are from PBE.

```
NaGeCl3
1.0
8.284 0.000 -1.586
0.000 5.688 0.000
-2.764 0.000 13.661
Na Ge Cl
4 4 12
direct
0.063 0.471 0.161 Na
0.437 0.971 0.339 Na
0.937 0.529 0.839 Na
0.563 0.029 0.661 Na
0.523 0.514 0.155 Ge
0.977 0.014 0.345 Ge
0.477 0.486 0.845 Ge
0.023 0.986 0.655 Ge
0.063 0.575 0.681 Cl
0.437 0.075 0.819 Cl
0.937 0.425 0.319 Cl
0.563 0.925 0.181 Cl
0.924 0.030 0.795 Cl
0.576 0.530 0.705 Cl
0.076 0.970 0.205 Cl
0.424 0.470 0.295 Cl
0.737 0.967 0.526 Cl
0.763 0.467 0.974 Cl
0.263 0.033 0.474 Cl
0.237 0.533 0.026 Cl
```

Values from the calculation:
Energy in eV per atom: -3.503
SG: P2_1/c (14)
Crystal system: monoclinic


Entry 2:
Here is a relaxed KRb6HgAu crystal from Alexandria via LeMat-Bulk. Energies are from PBE.

```
KRb6HgAu
1.0
-0.106 -0.323 -9.745
-9.379 -2.661 0.191
-3.683 12.956 -0.390
K Rb Hg Au
2 12 2 2
direct
0.500 0.500 0.508 K
0.000 0.000 0.008 K
0.164 0.836 0.494 Rb
0.836 0.164 0.494 Rb
0.336 0.336 0.994 Rb
0.664 0.664 0.994 Rb
0.244 0.756 0.186 Rb
0.756 0.244 0.186 Rb
0.256 0.256 0.686 Rb
0.744 0.744 0.686 Rb
0.744 0.256 0.814 Rb
0.256 0.744 0.814 Rb
0.756 0.756 0.314 Rb
0.244 0.244 0.314 Rb
0.500 0.500 0.234 Hg
0.000 0.000 0.734 Hg
0.500 0.500 0.772 Au
0.000 0.000 0.272 Au
```

Values from the calculation:
Energy in eV per atom: -1.240
SG: P4_2nm (102)
Crystal system: tetragonal